Below is a relaxed structure of CaCoCl, with properties calculated at the PBE-GGA level.

The structure in CIF format:
```
data_CaCoCl
_chemical_formula_sum 'Ca4 Co4 Cl4'
_symmetry_space_group_name_H-M 'C 1 m 1'
_symmetry_Int_Tables_number 8
_cell_length_a 10.3181
_cell_length_b 3.9086
_cell_length_c 7.2381
_cell_angle_alpha 90.00
_cell_angle_beta 99.23
_cell_angle_gamma 90.00
loop_
_symmetry_equiv_pos_as_xyz
'x,y,z'
'x,-y,z'
'x+1/2,y+1/2,z'
'x+1/2,-y+1/2,z'
loop_
_atom_site_label
_atom_site_type_symbol
_atom_site_fract_x
_atom_site_fract_y
_atom_site_fract_z
Ca1 Ca 0.0000 0.0000 0.0000
Ca2 Ca 0.2415 0.0000 0.6076
Co1 Co 0.2230 0.5000 0.0821
Co2 Co 0.2844 0.0000 0.9937
Cl1 Cl 0.1282 0.5000 0.3488
Cl2 Cl 0.4419 0.5000 0.6132
```

Computed properties:
E_form (uncorrected): -2.046 eV/f.u.



Below is a relaxed structure of Ho5UP6, with properties calculated at the PBE-GGA level.

The structure in CIF format:
```
data_Ho5UP6
_chemical_formula_sum 'Ho10 U2 P12'
_symmetry_space_group_name_H-M 'C 1 2/m 1'
_symmetry_Int_Tables_number 12
_cell_length_a 6.8735
_cell_length_b 11.9126
_cell_length_c 6.8697
_cell_angle_alpha 90.00
_cell_angle_beta 109.47
_cell_angle_gamma 90.00
loop_
_symmetry_equiv_pos_as_xyz
'x,y,z'
'-x,-y,-z'
'-x,y,-z'
'x,-y,z'
'x+1/2,y+1/2,z'
'-x+1/2,-y+1/2,-z'
'-x+1/2,y+1/2,-z'
'x+1/2,-y+1/2,z'
loop_
_atom_site_label
_atom_site_type_symbol
_atom_site_fract_x
_atom_site_fract_y
_atom_site_fract_z
Ho1 Ho 0.0000 0.0000 0.0000
Ho2 Ho 0.0000 0.1663 0.5000
Ho3 Ho 0.0000 0.3315 0.0000
U1 U 0.0000 0.5000 0.5000
P1 P 0.2442 0.5000 0.2543
P2 P 0.2457 0.3366 0.7470
```

Computed properties:
Calculated total energy: -7.063 eV/atom



Below is a relaxed structure of NbSb2Mo2, with properties calculated at the PBE-GGA level.

The structure in CIF format:
```
data_NbSb2Mo2
_chemical_formula_sum 'Nb2 Sb4 Mo4'
_symmetry_space_group_name_H-M 'I 4/m m m'
_symmetry_Int_Tables_number 139
_symmetry_space_group_name_Hall '-I 4 2'
_cell_length_a 5.0093
_cell_length_b 5.0093
_cell_length_c 8.5010
_cell_angle_alpha 90.00
_cell_angle_beta 90.00
_cell_angle_gamma 90.00
loop_
_atom_site_label
_atom_site_type_symbol
_atom_site_fract_x
_atom_site_fract_y
_atom_site_fract_z
Nb1 Nb 0.0000 0.0000 0.0000
Sb1 Sb 0.0000 0.5000 0.2500
Mo1 Mo 0.0000 0.0000 0.3690
```

Computed properties:
E_form (uncorrected): 3.435 eV/f.u.
Energy above the most stable polymorph in this dataset: 318.9 meV/atom



Below is a relaxed structure of Tb8As3AuSe4, with properties calculated at the PBE-GGA level.

The structure in CIF format:
```
data_Tb8As3AuSe4
_chemical_formula_sum 'Tb24 As9 Au3 Se12'
_symmetry_space_group_name_H-M 'R -3 m'
_symmetry_Int_Tables_number 166
_symmetry_space_group_name_Hall '-R 3 2"'
_cell_length_a 8.2492
_cell_length_b 8.2492
_cell_length_c 20.3131
_cell_angle_alpha 90.00
_cell_angle_beta 90.00
_cell_angle_gamma 120.00
loop_
_atom_site_label
_atom_site_type_symbol
_atom_site_fract_x
_atom_site_fract_y
_atom_site_fract_z
Tb1 Tb 0.0000 0.0000 0.2459
Tb2 Tb 0.0038 0.5019 0.7518
As1 As 0.0000 0.5000 0.5000
Au1 Au 0.0000 0.0000 0.5000
Se1 Se 0.0000 0.0000 0.0000
Se2 Se 0.0000 0.5000 0.0000
```

Computed properties:
E_form (uncorrected): -25.525 eV/f.u.



Below is a relaxed structure of PaIBr, with properties calculated at the PBE-GGA level.

The structure in CIF format:
```
data_PaIBr
_chemical_formula_sum 'Pa2 I2 Br2'
_symmetry_space_group_name_H-M 'C 1 m 1'
_symmetry_Int_Tables_number 8
_cell_length_a 6.4978
_cell_length_b 3.7519
_cell_length_c 9.1151
_cell_angle_alpha 90.00
_cell_angle_beta 109.90
_cell_angle_gamma 90.00
loop_
_symmetry_equiv_pos_as_xyz
'x,y,z'
'x,-y,z'
'x+1/2,y+1/2,z'
'x+1/2,-y+1/2,z'
loop_
_atom_site_label
_atom_site_type_symbol
_atom_site_fract_x
_atom_site_fract_y
_atom_site_fract_z
Pa1 Pa 0.0000 0.0000 0.0000
I1 I 0.2940 0.5000 0.2664
Br1 Br 0.0503 0.5000 0.7561
```

Computed properties:
E_form (uncorrected): -2.637 eV/f.u.
Energy above the most stable polymorph in this dataset: 86.9 meV/atom



Below is a relaxed structure of Hf2CrCu, with properties calculated at the PBE-GGA level.

The structure in CIF format:
```
data_Hf2CrCu
_chemical_formula_sum 'Hf2 Cr1 Cu1'
_symmetry_space_group_name_H-M 'P 4/m m m'
_symmetry_Int_Tables_number 123
_symmetry_space_group_name_Hall '-P 4 2'
_cell_length_a 3.2371
_cell_length_b 3.2371
_cell_length_c 6.4166
_cell_angle_alpha 90.00
_cell_angle_beta 90.00
_cell_angle_gamma 90.00
loop_
_atom_site_label
_atom_site_type_symbol
_atom_site_fract_x
_atom_site_fract_y
_atom_site_fract_z
Hf1 Hf 0.0000 0.0000 0.2382
Cr1 Cr 0.5000 0.5000 0.0000
Cu1 Cu 0.5000 0.5000 0.5000
```

Computed properties:
Calculated total energy: -8.437 eV/atom



Below is a relaxed structure of Sr2Ta, with properties calculated at the PBE-GGA level.

The structure in CIF format:
```
data_Sr2Ta
_chemical_formula_sum 'Sr8 Ta4'
_symmetry_space_group_name_H-M 'C m c m'
_symmetry_Int_Tables_number 63
_symmetry_space_group_name_Hall '-C 2c 2'
_cell_length_a 16.6476
_cell_length_b 6.8742
_cell_length_c 4.3663
_cell_angle_alpha 90.00
_cell_angle_beta 90.00
_cell_angle_gamma 90.00
loop_
_atom_site_label
_atom_site_type_symbol
_atom_site_fract_x
_atom_site_fract_y
_atom_site_fract_z
Sr1 Sr 0.1379 0.2486 0.2500
Ta1 Ta 0.0000 0.3936 0.7500
```

Computed properties:
Energy above the most stable polymorph in this dataset: 85.7 meV/atom



Below is a relaxed structure of Pm3TmMg, with properties calculated at the PBE-GGA level.

The structure in CIF format:
```
data_Pm3TmMg
_chemical_formula_sum 'Pm6 Tm2 Mg2'
_symmetry_space_group_name_H-M 'P 1 21/m 1'
_symmetry_Int_Tables_number 11
_cell_length_a 3.6658
_cell_length_b 11.3652
_cell_length_c 8.2833
_cell_angle_alpha 90.00
_cell_angle_beta 101.68
_cell_angle_gamma 90.00
loop_
_symmetry_equiv_pos_as_xyz
'x,y,z'
'-x,-y,-z'
'-x,y+1/2,-z'
'x,-y+1/2,z'
loop_
_atom_site_label
_atom_site_type_symbol
_atom_site_fract_x
_atom_site_fract_y
_atom_site_fract_z
Pm1 Pm 0.1635 0.0084 0.2931
Pm2 Pm 0.3126 0.2500 0.6059
Tm1 Tm 0.0190 0.2500 0.9685
Mg1 Mg 0.3360 0.7500 0.7146
```

Computed properties:
Energy above the most stable polymorph in this dataset: 121.4 meV/atom



Below is a relaxed structure of Li3Mg2UO6, with properties calculated at the PBE-GGA level.

The structure in CIF format:
```
data_Li3Mg2UO6
_chemical_formula_sum 'Li6 Mg4 U2 O12'
_symmetry_space_group_name_H-M 'C 1 2/m 1'
_symmetry_Int_Tables_number 12
_cell_length_a 5.3853
_cell_length_b 9.4778
_cell_length_c 5.2550
_cell_angle_alpha 90.00
_cell_angle_beta 108.19
_cell_angle_gamma 90.00
loop_
_symmetry_equiv_pos_as_xyz
'x,y,z'
'-x,-y,-z'
'-x,y,-z'
'x,-y,z'
'x+1/2,y+1/2,z'
'-x+1/2,-y+1/2,-z'
'-x+1/2,y+1/2,-z'
'x+1/2,-y+1/2,z'
loop_
_atom_site_label
_atom_site_type_symbol
_atom_site_fract_x
_atom_site_fract_y
_atom_site_fract_z
Li1 Li 0.0000 0.0000 0.0000
Li2 Li 0.0000 0.3093 0.0000
Mg1 Mg 0.0000 0.1670 0.5000
U1 U 0.0000 0.5000 0.5000
O1 O 0.2344 0.0000 0.7269
O2 O 0.2408 0.3317 0.7337
```

Computed properties:
E_form (uncorrected): -31.084 eV/f.u.



Below is a relaxed structure of SrCaO3, with properties calculated at the PBE-GGA level.

The structure in CIF format:
```
data_SrCaO3
_chemical_formula_sum 'Sr1 Ca1 O3'
_symmetry_space_group_name_H-M 'P m -3 m'
_symmetry_Int_Tables_number 221
_symmetry_space_group_name_Hall '-P 4 2 3'
_cell_length_a 4.2985
_cell_length_b 4.2985
_cell_length_c 4.2985
_cell_angle_alpha 90.00
_cell_angle_beta 90.00
_cell_angle_gamma 90.00
loop_
_atom_site_label
_atom_site_type_symbol
_atom_site_fract_x
_atom_site_fract_y
_atom_site_fract_z
Sr1 Sr 0.0000 0.0000 0.0000
Ca1 Ca 0.5000 0.5000 0.5000
O1 O 0.0000 0.5000 0.5000
```

Computed properties:
E_form (uncorrected): -8.740 eV/f.u.



Below is a relaxed structure of SrSm2Se3, with properties calculated at the PBE-GGA level.

The structure in CIF format:
```
data_SrSm2Se3
_chemical_formula_sum 'Sr2 Sm4 Se6'
_symmetry_space_group_name_H-M 'I m m m'
_symmetry_Int_Tables_number 71
_symmetry_space_group_name_Hall '-I 2 2'
_cell_length_a 4.2230
_cell_length_b 6.0017
_cell_length_c 12.8171
_cell_angle_alpha 90.00
_cell_angle_beta 90.00
_cell_angle_gamma 90.00
loop_
_atom_site_label
_atom_site_type_symbol
_atom_site_fract_x
_atom_site_fract_y
_atom_site_fract_z
Sr1 Sr 0.0000 0.0000 0.0000
Sm1 Sm 0.0000 0.0000 0.3360
Se1 Se 0.0000 0.5000 0.0000
Se2 Se 0.0000 0.5000 0.3278
```

Computed properties:
E_form (uncorrected): -11.199 eV/f.u.



Below is a relaxed structure of Bi5RhAu, with properties calculated at the PBE-GGA level.

The structure in CIF format:
```
data_Bi5RhAu
_chemical_formula_sum 'Bi20 Rh4 Au4'
_symmetry_space_group_name_H-M 'C 1 2/c 1'
_symmetry_Int_Tables_number 15
_cell_length_a 10.6318
_cell_length_b 10.5158
_cell_length_c 9.1347
_cell_angle_alpha 90.00
_cell_angle_beta 105.36
_cell_angle_gamma 90.00
loop_
_symmetry_equiv_pos_as_xyz
'x,y,z'
'-x,-y,-z'
'-x,y,-z+1/2'
'x,-y,z+1/2'
'x+1/2,y+1/2,z'
'-x+1/2,-y+1/2,-z'
'-x+1/2,y+1/2,-z+1/2'
'x+1/2,-y+1/2,z+1/2'
loop_
_atom_site_label
_atom_site_type_symbol
_atom_site_fract_x
_atom_site_fract_y
_atom_site_fract_z
Bi1 Bi 0.0000 0.1533 0.2500
Bi2 Bi 0.0099 0.3498 0.9544
Bi3 Bi 0.2285 0.4616 0.8173
Rh1 Rh 0.0000 0.4098 0.2500
Au1 Au 0.0000 0.0000 0.0000
```

Computed properties:
Calculated total energy: -4.157 eV/atom